Record 1
VASP calculation (GGA-PBE) on Hf2ZrPd after structural relaxation.

As for the distance to the lowest polymorph of the same formula: 0.000 eV/atom. As for the total magnetic moment: 0.00 μB/cell.

a b c (Å): 3.252 3.252 7.702
angles (deg): 90.00 90.00 90.00
Sites, in units of the cell vectors:
Hf 0.000 0.000 0.226
Hf 0.000 0.000 0.774
Zr 0.500 0.500 0.500
Pd 0.500 0.500 0.000

***

Record 2
VASP calculation (GGA-PBE) on HfZr3Pd after structural relaxation.

As for the distance to the lowest polymorph of the same formula: 0.047 eV/atom. As for the total magnetic moment: 0.00 μB/cell.

a b c (Å): 10.040 10.040 10.040
angles (deg): 149.26 149.26 44.04
Sites, in units of the cell vectors:
Hf 0.196 0.196 0.000
Hf 0.804 0.804 0.000
Zr 0.374 0.125 0.751
Zr 0.374 0.623 0.249
Zr 0.377 0.626 0.751
Zr 0.561 0.061 0.500
Zr 0.875 0.626 0.249
Zr 0.939 0.439 0.500
Pd 0.250 0.750 0.500
Pd 0.500 0.500 0.000

***

Record 3
VASP calculation (GGA-PBE) on Hf3ZrPd after structural relaxation.

As for the distance to the lowest polymorph of the same formula: 0.000 eV/atom. As for the total magnetic moment: 0.00 μB/cell.

a b c (Å): 7.541 7.541 5.439
angles (deg): 105.60 105.60 45.48
Sites, in units of the cell vectors:
Hf 0.101 0.611 0.649
Hf 0.293 0.293 0.091
Hf 0.389 0.899 0.351
Hf 0.611 0.101 0.649
Hf 0.707 0.707 0.909
Hf 0.899 0.389 0.351
Zr 0.069 0.069 0.803
Zr 0.931 0.931 0.197
Pd 0.500 0.500 0.000
Pd 0.500 0.500 0.500

***

Record 4
VASP calculation (GGA-PBE) on HfZrPd3 after structural relaxation.

As for the distance to the lowest polymorph of the same formula: 0.126 eV/atom. As for the total magnetic moment: 0.00 μB/cell.

a b c (Å): 7.544 7.152 6.908
angles (deg): 90.00 90.00 90.00
Sites, in units of the cell vectors:
Hf 0.149 0.250 0.078
Hf 0.351 0.750 0.578
Hf 0.649 0.250 0.422
Hf 0.851 0.750 0.922
Zr 0.000 0.000 0.500
Zr 0.000 0.500 0.500
Zr 0.500 0.000 0.000
Zr 0.500 0.500 0.000
Pd 0.142 0.750 0.217
Pd 0.155 0.558 0.851
Pd 0.155 0.942 0.851
Pd 0.345 0.058 0.351
Pd 0.345 0.442 0.351
Pd 0.358 0.250 0.717
Pd 0.642 0.750 0.283
Pd 0.655 0.558 0.649
Pd 0.655 0.942 0.649
Pd 0.845 0.058 0.149
Pd 0.845 0.442 0.149
Pd 0.858 0.250 0.783

***

Record 5
VASP calculation (GGA-PBE) on Hf3ZrPd after structural relaxation.

As for the distance to the lowest polymorph of the same formula: 0.695 eV/atom. As for the total magnetic moment: 0.00 μB/cell.

a b c (Å): 5.005 5.005 5.005
angles (deg): 90.00 90.00 90.00
Sites, in units of the cell vectors:
Hf 0.000 0.000 0.500
Hf 0.000 0.500 0.000
Hf 0.500 0.000 0.000
Zr 0.500 0.500 0.500
Pd 0.000 0.000 0.000

***

Record 6
VASP calculation (GGA-PBE) on Hf3ZrPd after structural relaxation.

As for the distance to the lowest polymorph of the same formula: 1.482 eV/atom. As for the total magnetic moment: 0.00 μB/cell.

a b c (Å): 5.039 5.039 5.039
angles (deg): 90.00 90.00 90.00
Sites, in units of the cell vectors:
Hf 0.000 0.000 0.500
Hf 0.000 0.500 0.000
Hf 0.500 0.000 0.000
Zr 0.000 0.000 0.000
Pd 0.500 0.500 0.500

***

Record 7
VASP calculation (GGA-PBE) on HfZrPd3 after structural relaxation.

As for the distance to the lowest polymorph of the same formula: 1.030 eV/atom. As for the total magnetic moment: 0.32 μB/cell.

a b c (Å): 4.817 4.817 4.817
angles (deg): 90.00 90.00 90.00
Sites, in units of the cell vectors:
Hf 0.000 0.000 0.000
Zr 0.500 0.500 0.500
Pd 0.000 0.000 0.500
Pd 0.000 0.500 0.000
Pd 0.500 0.000 0.000

***

Record 8
VASP calculation (GGA-PBE) on Hf4ZrPd after structural relaxation.

As for the total magnetic moment: 0.00 μB/cell.

a b c (Å): 3.201 3.201 12.400
angles (deg): 90.00 90.00 90.00
Sites, in units of the cell vectors:
Hf 0.000 0.000 0.145
Hf 0.000 0.000 0.855
Hf 0.500 0.500 0.315
Hf 0.500 0.500 0.685
Zr 0.000 0.000 0.500
Pd 0.500 0.500 0.000

***

Number 1: DOS(E_F) 3.54 states/eV/f.u., ΔH_f (0 K) -0.364 eV/atom, E_tot -35.103 eV per cell. Number 2: DOS(E_F) 7.74 states/eV/f.u., ΔH_f (0 K) 0.556 eV/atom, E_tot -76.020 eV per cell. Number 3: DOS(E_F) 4.53 states/eV/f.u., ΔH_f (0 K) -0.215 eV/atom, E_tot -89.354 eV per cell. Number 4: DOS(E_F) 2.82 states/eV/f.u., ΔH_f (0 K) -0.541 eV/atom, E_tot -147.149 eV per cell. Number 5: DOS(E_F) 6.58 states/eV/f.u., ΔH_f (0 K) 0.480 eV/atom, E_tot -41.203 eV per cell. Number 6: DOS(E_F) 6.69 states/eV/f.u., ΔH_f (0 K) 1.267 eV/atom, E_tot -37.267 eV per cell. Number 7: DOS(E_F) 5.94 states/eV/f.u., ΔH_f (0 K) 0.363 eV/atom, E_tot -32.267 eV per cell. Number 8: DOS(E_F) 6.48 states/eV/f.u., ΔH_f (0 K) -0.232 eV/atom, E_tot -54.944 eV per cell.